KRbZnSb2: relaxed, PBE.

Cell: 5.483 5.483 5.966 Å, 90.00 90.00 90.00°
Space group P4/mmm (No. 123)
One atom of each set of equivalent atoms:
K 0.000 0.000 0.000
Rb 0.500 0.500 0.000
Zn 0.000 0.000 0.500
Sb 0.000 0.500 0.500

Values from the calculation:
The calculation puts the electronic total energy at -0.0890 hartree per atom. For the formation energy (no corrections), the calculation gives -0.104 eV per atom. As for the density of states at the Fermi level: 1.20 states/eV per cell. The volume is 179.4 Å³/cell.